# SrZnSCl2

A relaxed SrZnSCl2 crystal (PBE, Alexandria via LeMat-Bulk).

Cell: 5.6017 5.6017 6.0660 Å, 90.00 90.00 90.00°
Closest atoms and distances in Å follow each position.
Fractional coordinates of all 5 atoms:
Sr: 0.0000 0.0000 0.0000  4 Cl 2.80, 2 S 3.03
Zn: 0.5000 0.5000 0.5000  4 S 3.96, 8 Cl 4.13
S: 0.0000 0.0000 0.5000  2 Sr 3.03
Cl: 0.0000 0.5000 0.0000  2 Sr 2.80
Cl: 0.5000 0.0000 0.0000  2 Sr 2.80

- Density of states at the Fermi level: 5.19 states/eV/f.u.
- E above lowest polymorph: 15.81 kcal/mol of atoms
- E_form (uncorrected): -0.69 eV/atom
- Density: 2.2 g cm⁻³
- Total magnetic moment: 1.594 μB/f.u.


# PuInPb2Se5

A relaxed PuInPb2Se5 crystal (PBE, Alexandria via LeMat-Bulk).

Cell: 9.6238 9.6238 13.3577 Å, 90.00 90.00 154.84°
Closest atoms and distances in Å follow each position.
Fractional coordinates of all 18 atoms:
Pu: 0.2014 0.7986 0.5000  6 Se 2.88-3.02
Pu: 0.7986 0.2014 0.0000  6 Se 2.88-3.02
In: 0.4513 0.5487 0.9130  4 Se 2.56-2.70
In: 0.5487 0.4513 0.4130  4 Se 2.56-2.70
Pb: 0.1265 0.8735 0.7972  4 Se 2.99-3.25
Pb: 0.1365 0.8635 0.1449  3 Se 2.94-2.95
Pb: 0.8635 0.1365 0.6449  3 Se 2.94-2.95
Pb: 0.8735 0.1265 0.2972  4 Se 2.99-3.25
Se: 0.0425 0.9575 0.5321  2 In 2.63
Se: 0.2934 0.7066 0.1488  2 Pu 2.89, 1 Pb 2.95
Se: 0.3148 0.6852 0.8499  1 In 2.70, 2 Pu 2.92
Se: 0.3549 0.6451 0.4911  1 Pu 2.88, 2 Pb 2.94
Se: 0.4809 0.5191 0.2470  1 In 2.56
Se: 0.5191 0.4809 0.7470  1 In 2.56
Se: 0.6451 0.3549 0.9911  1 Pu 2.88, 2 Pb 2.94
Se: 0.6852 0.3148 0.3499  1 In 2.70, 2 Pu 2.92
Se: 0.7066 0.2934 0.6488  2 Pu 2.89, 1 Pb 2.95
Se: 0.9575 0.0425 0.0321  2 In 2.63

- Density of states at the Fermi level: 10.97 states/eV/f.u.
- E_form (uncorrected): -0.77 eV/atom
- Density: 7.4 g cm⁻³
- Total magnetic moment: 5.000 μB/f.u.


# La5HIrAu2

A relaxed La5HIrAu2 crystal (PBE, Alexandria via LeMat-Bulk).

Cell: 9.3776 9.3776 13.1801 Å, 90.00 90.00 154.54°
Closest atoms and distances in Å follow each position.
Fractional coordinates of all 18 atoms:
La: 0.0008 0.9992 0.5000  1 H 2.35
La: 0.1406 0.8594 0.2587  1 Ir 2.87, 2 Au 3.20
La: 0.1961 0.8039 0.6184  1 H 2.48
La: 0.2016 0.7984 0.9165  2 Ir 2.86
La: 0.4546 0.5454 0.2456  2 H 2.40
La: 0.5454 0.4546 0.7456  2 H 2.40
La: 0.7984 0.2016 0.4165  2 Ir 2.86
La: 0.8039 0.1961 0.1184  1 H 2.48
La: 0.8594 0.1406 0.7587  1 Ir 2.87, 2 Au 3.20
La: 0.9992 0.0008 0.0000  1 H 2.35
H: 0.0630 0.9370 0.6560  4 La 2.35-2.48
H: 0.9370 0.0630 0.1560  4 La 2.35-2.48
Ir: 0.2972 0.7028 0.2666  6 La 2.85-2.89
Ir: 0.7028 0.2972 0.7666  6 La 2.85-2.89
Au: 0.3794 0.6206 0.9434  7 La 3.10-3.39
Au: 0.3802 0.6198 0.5759  7 La 3.18-3.41
Au: 0.6198 0.3802 0.0759  7 La 3.18-3.41
Au: 0.6206 0.3794 0.4434  7 La 3.10-3.39

- Calculated total energy: -5.490 eV per atom
- Density of states at the Fermi level: 7.66 states/eV/f.u.
- Density: 8.5 g cm⁻³
- Total magnetic moment: 0.746 μB/f.u.


# MnAl2Se

A relaxed MnAl2Se crystal (PBE, Alexandria via LeMat-Bulk).

Cell: 3.3896 5.7613 5.7613 Å, 35.86 90.00 90.00°
Closest atoms and distances in Å follow each position.
Fractional coordinates of all 4 atoms:
Mn: 0.0000 0.0000 0.0000  5 Al 2.48-2.55, 2 Se 2.57
Al: 0.0000 0.2260 0.2260  1 Mn 2.48, 4 Se 2.68
Al: 0.5000 0.5635 0.5635  4 Mn 2.55, 1 Se 2.85
Se: 0.5000 0.8237 0.8237  2 Mn 2.57, 5 Al 2.68-2.85

- Density of states at the Fermi level: 1.88 states/eV/f.u.
- E_form (uncorrected): -0.08 eV/atom
- Density: 4.7 g cm⁻³
- Total magnetic moment: 2.088 μB/f.u.